Material: NdSnHg4
Method: DFT, GGA-PBE
State: optimized geometry

abc: 6.0520 6.0520 6.0520
angles: 60.00 60.00 60.00
With the nearest neighbours (Å) after each atom.
Fractional positions:
1 Nd 0.2500 0.2500 0.2500  12 Hg 3.55, 4 Sn 3.71
2 Hg 0.6251 0.6251 0.1246  6 Hg 3.02-3.03
3 Hg 0.6251 0.1246 0.6251  6 Hg 3.02-3.03
4 Hg 0.6251 0.6251 0.6251  6 Hg 3.02-3.03
5 Hg 0.1246 0.6251 0.6251  6 Hg 3.02-3.03
6 Sn 0.0000 0.0000 0.0000  12 Hg 3.55, 4 Nd 3.71

Summary:
Energy of formation from the pure elements: -0.108 eV/atom
Space-group type: No. 216
Uncorrected energy: -10.63 eV per cell
Energy relative to the lowest polymorph listed for this composition: 172.3 meV per atom